Record 1
Here is a geometry-optimized SrLiNdAg structure from Alexandria via LeMat-Bulk. Energies are from PBE.

Computed properties:
Its final energy is -2.855 eV per atom. As for the symmetry: F-43m (216). The volume is 115.7 Å³/f.u. The formation energy is -0.05 eV per atom.

abc: 5.4696 5.4696 5.4696
angles: 60.00 60.00 60.00
Last column: nearest neighbours and their distance in Å.
Atoms (fractional coordinates):
Sr 0.5000 0.5000 0.5000  4 Ag 3.35, 4 Li 3.35
Nd 0.0000 0.0000 0.0000  4 Ag 3.35, 4 Li 3.35
Ag 0.2500 0.2500 0.2500  4 Sr 3.35, 4 Nd 3.35
Li 0.7500 0.7500 0.7500  4 Nd 3.35, 4 Sr 3.35


Record 2
Here is a geometry-optimized MgAgF6 structure from Alexandria via LeMat-Bulk. Energies are from PBE.

Computed properties:
The formation energy from raw total energies comes out at -40.77 kcal/mol of atoms. Its final energy is -3.727 eV per atom. As for the symmetry: P-31c (163). The volume is 102.9 Å³/f.u.

abc: 5.0173 5.0173 9.4405
angles: 90.00 90.00 120.00
Last column: nearest neighbours and their distance in Å.
Atoms (fractional coordinates):
Mg 0.3333 0.6667 0.2500  6 F 2.02
Mg 0.6667 0.3333 0.7500  6 F 2.02
Ag 0.0000 0.0000 0.5000  6 F 2.03
Ag 0.0000 0.0000 0.0000  6 F 2.03
F 0.3224 0.3334 0.3748  1 Mg 2.02, 1 Ag 2.03
F 0.6776 0.6666 0.6252  1 Mg 2.02, 1 Ag 2.03
F 0.0109 0.6776 0.3748  1 Mg 2.02, 1 Ag 2.03
F 0.3224 0.9891 0.1252  1 Mg 2.02, 1 Ag 2.03
F 0.9891 0.3224 0.6252  1 Mg 2.02, 1 Ag 2.03
F 0.6776 0.0109 0.8748  1 Mg 2.02, 1 Ag 2.03
F 0.6666 0.9891 0.3748  1 Mg 2.02, 1 Ag 2.03
F 0.0109 0.3334 0.1252  1 Mg 2.02, 1 Ag 2.03
F 0.3334 0.0109 0.6252  1 Mg 2.02, 1 Ag 2.03
F 0.9891 0.6666 0.8748  1 Mg 2.02, 1 Ag 2.03
F 0.6666 0.6776 0.1252  1 Mg 2.02, 1 Ag 2.03
F 0.3334 0.3224 0.8748  1 Mg 2.02, 1 Ag 2.03


Record 3
Here is a geometry-optimized GaPt2Au2 structure from Alexandria via LeMat-Bulk. Energies are from PBE.

Computed properties:
Its final energy is -4.522 eV per atom. As for the symmetry: P4/mbm (127). The volume is 89.2 Å³/f.u. The distance to the lowest polymorph of the same formula is 0 meV per atom. The formation energy is -0.19 eV per atom.

abc: 6.4783 6.4783 4.2506
angles: 90.00 90.00 90.00
Last column: nearest neighbours and their distance in Å.
Atoms (fractional coordinates):
Au 0.1609 0.6609 0.5000  6 Pt 2.77-2.91, 1 Au 2.95
Au 0.6609 0.8391 0.5000  6 Pt 2.77-2.91, 1 Au 2.95
Au 0.8391 0.3391 0.5000  6 Pt 2.77-2.91, 1 Au 2.95
Au 0.3391 0.1609 0.5000  6 Pt 2.77-2.91, 1 Au 2.95
Ga 0.0000 0.0000 0.0000  4 Pt 2.49
Ga 0.5000 0.5000 0.0000  4 Pt 2.49
Pt 0.3553 0.8553 0.0000  2 Ga 2.49, 1 Pt 2.65, 2 Au 2.77
Pt 0.8553 0.6447 0.0000  2 Ga 2.49, 1 Pt 2.65, 2 Au 2.77
Pt 0.6447 0.1447 0.0000  2 Ga 2.49, 1 Pt 2.65, 2 Au 2.77
Pt 0.1447 0.3553 0.0000  2 Ga 2.49, 1 Pt 2.65, 2 Au 2.77


Record 4
Here is a geometry-optimized LiPr2Er structure from Alexandria via LeMat-Bulk. Energies are from PBE.

Computed properties:
Its final energy is -3.939 eV per atom. As for the symmetry: R3m (160). The volume is 127.5 Å³/f.u. The distance to the lowest polymorph of the same formula is 7 meV per atom. The formation energy is 0.07 eV per atom.

abc: 3.5802 3.5802 11.6745
angles: 81.18 81.18 60.00
Last column: nearest neighbours and their distance in Å.
Atoms (fractional coordinates):
Li 0.4998 0.4998 0.5006  6 Pr 3.51-3.52, 6 Li 3.58
Pr 0.0841 0.0841 0.7476  3 Li 3.51, 3 Er 3.56, 6 Pr 3.58
Pr 0.2492 0.2492 0.2523  3 Li 3.52, 3 Er 3.56, 6 Pr 3.58
Er 0.6668 0.6668 0.9995  6 Pr 3.56, 6 Er 3.58


Record 5
Here is a geometry-optimized Li8Mg3Sn4 structure from Alexandria via LeMat-Bulk. Energies are from PBE.

Computed properties:
Its final energy is -2.723 eV per atom. As for the symmetry: Fm-3m (225). The volume is 291.8 Å³/f.u. The formation energy is -0.32 eV per atom.

abc: 9.3798 9.3799 9.3799
angles: 60.00 60.00 60.00
Last column: nearest neighbours and their distance in Å.
Atoms (fractional coordinates):
Li 0.6109 0.1297 0.1297  4 Sn 2.84-2.98, 3 Li 2.95, 3 Mg 3.00
Li 0.3891 0.8703 0.8703  4 Sn 2.84-2.98, 3 Li 2.95, 3 Mg 3.00
Li 0.1297 0.1297 0.6109  4 Sn 2.84-2.98, 3 Li 2.95, 3 Mg 3.00
Li 0.1297 0.1297 0.1297  4 Sn 2.84-2.98, 3 Li 2.95, 3 Mg 3.00
Li 0.8703 0.8703 0.3891  4 Sn 2.84-2.98, 3 Li 2.95, 3 Mg 3.00
Li 0.8703 0.8703 0.8703  4 Sn 2.84-2.98, 3 Li 2.95, 3 Mg 3.00
Li 0.1297 0.6109 0.1297  4 Sn 2.84-2.98, 3 Li 2.95, 3 Mg 3.00
Li 0.8703 0.3891 0.8703  4 Sn 2.84-2.98, 3 Li 2.95, 3 Mg 3.00
Li 0.9483 0.3506 0.3506  3 Sn 2.74, 3 Li 2.95, 3 Mg 3.04
Li 0.0517 0.6494 0.6494  3 Sn 2.74, 3 Li 2.95, 3 Mg 3.04
Li 0.3506 0.3506 0.9483  3 Sn 2.74, 3 Li 2.95, 3 Mg 3.04
Li 0.3506 0.3506 0.3506  3 Sn 2.74, 3 Li 2.95, 3 Mg 3.04
Li 0.6494 0.6494 0.0517  3 Sn 2.74, 3 Li 2.95, 3 Mg 3.04
Li 0.6494 0.6494 0.6494  3 Sn 2.74, 3 Li 2.95, 3 Mg 3.04
Li 0.3506 0.9483 0.3506  3 Sn 2.74, 3 Li 2.95, 3 Mg 3.04
Li 0.6494 0.0517 0.6494  3 Sn 2.74, 3 Li 2.95, 3 Mg 3.04
Mg 0.7382 0.7382 0.2618  8 Li 3.00-3.04, 5 Sn 3.16-3.32
Mg 0.2618 0.2618 0.7382  8 Li 3.00-3.04, 5 Sn 3.16-3.32
Mg 0.7382 0.2618 0.2618  8 Li 3.00-3.04, 5 Sn 3.16-3.32
Mg 0.2618 0.7382 0.7382  8 Li 3.00-3.04, 5 Sn 3.16-3.32
Mg 0.7382 0.2618 0.7382  8 Li 3.00-3.04, 5 Sn 3.16-3.32
Mg 0.2618 0.7382 0.2618  8 Li 3.00-3.04, 5 Sn 3.16-3.32
Sn 0.0000 0.0000 0.0000  8 Li 2.98
Sn 0.5000 0.5000 0.0000  8 Li 2.74-2.84
Sn 0.0000 0.0000 0.5000  8 Li 2.74-2.84
Sn 0.5000 0.0000 0.0000  8 Li 2.74-2.84
Sn 0.0000 0.5000 0.5000  8 Li 2.74-2.84
Sn 0.5000 0.0000 0.5000  8 Li 2.74-2.84
Sn 0.0000 0.5000 0.0000  8 Li 2.74-2.84
Sn 0.5000 0.5000 0.5000  6 Mg 3.16, 8 Li 3.43


Record 6
Here is a geometry-optimized PuSi2W structure from Alexandria via LeMat-Bulk. Energies are from PBE.

Computed properties:
The formation energy from raw total energies comes out at 1.99 kcal/mol of atoms. Its final energy is -9.447 eV per atom. As for the symmetry: R-3m (166). The volume is 69.6 Å³/f.u. The distance to the lowest polymorph of the same formula is 270 meV per atom.

abc: 3.0230 3.0230 8.9629
angles: 80.29 80.29 60.00
Last column: nearest neighbours and their distance in Å.
Atoms (fractional coordinates):
Si 0.7383 0.7383 0.7852  3 W 2.57
Si 0.2617 0.2617 0.2148  3 W 2.57
W 0.0000 0.0000 0.0000  6 Si 2.57
Pu 0.5000 0.5000 0.5000  6 Pu 3.02, 6 Si 3.05


Q: The lowest final energy belongs to which entry?
A: PuSi2W


Q: The highest final energy belongs to which entry?
A: Li8Mg3Sn4


Q: Number 4 is which compound?
A: LiPr2Er


Q: The highest final energy belongs to which entry?
A: Li8Mg3Sn4